Na2NCl after structural relaxation. Source: Alexandria via LeMat-Bulk, functional GGA-PBE.

```
data_Na2NCl
_chemical_formula_sum 'Na8 N4 Cl4'
_cell_length_a 6.612
_cell_length_b 6.612
_cell_length_c 6.612
_cell_angle_alpha 90.00
_cell_angle_beta 90.00
_cell_angle_gamma 90.00
_symmetry_space_group_name_H-M 'F m -3 m'
_symmetry_Int_Tables_number 225
_symmetry_space_group_name_Hall '-F 4 2 3'
loop_
_atom_site_label
_atom_site_fract_x
_atom_site_fract_y
_atom_site_fract_z
Na1 0.250 0.250 0.250
N1 0.000 0.000 0.000
Cl1 0.000 0.000 0.500
```

Summary:
Offset from the most stable computed form ... 0.089 eV per atom
Energy relative to the elements, uncorrected ... -0.0186 eV/atom

Cs2GaAsBr6 after structural relaxation. Source: Alexandria via LeMat-Bulk, functional GGA-PBE.

```
data_Cs2GaAsBr6
_chemical_formula_sum 'Cs4 Ga2 As2 Br12'
_cell_length_a 7.972
_cell_length_b 7.972
_cell_length_c 11.264
_cell_angle_alpha 90.00
_cell_angle_beta 90.00
_cell_angle_gamma 90.00
_symmetry_space_group_name_H-M 'I 4/m m m'
_symmetry_Int_Tables_number 139
_symmetry_space_group_name_Hall '-I 4 2'
loop_
_atom_site_label
_atom_site_fract_x
_atom_site_fract_y
_atom_site_fract_z
Cs1 0.000 0.500 0.250
Ga1 0.000 0.000 0.000
As1 0.000 0.000 0.500
Br1 0.000 0.000 0.261
Br2 0.239 0.239 0.500
```

Summary:
Energy relative to the elements, uncorrected ... -1.0550 eV/atom

SrNdMg after structural relaxation. Source: Alexandria via LeMat-Bulk, functional GGA-PBE.

```
data_SrNdMg
_chemical_formula_sum 'Sr1 Nd1 Mg1'
_cell_length_a 5.8212
_cell_length_b 5.8212
_cell_length_c 3.6090
_cell_angle_alpha 90.00
_cell_angle_beta 90.00
_cell_angle_gamma 120.00
_symmetry_space_group_name_H-M 'P 3 m 1'
_symmetry_Int_Tables_number 156
loop_
_symmetry_equiv_pos_as_xyz
'x,y,z'
'-y,x-y,z'
'-x+y,-x,z'
'-y,-x,z'
'-x+y,y,z'
'x,x-y,z'
loop_
_atom_site_label
_atom_site_fract_x
_atom_site_fract_y
_atom_site_fract_z
Sr1 0.0000 0.0000 0.0000
Nd1 0.3333 0.6667 0.6040
Mg1 0.6667 0.3333 0.2975
```

Summary:
Offset from the most stable computed form ... 0.119 eV per atom
Formation energy ... 0.138 eV/atom

ZrPa2Se6 after structural relaxation. Source: Alexandria via LeMat-Bulk, functional GGA-PBE.

```
data_ZrPa2Se6
_chemical_formula_sum 'Zr2 Pa4 Se12'
_cell_length_a 6.562
_cell_length_b 7.240
_cell_length_c 11.171
_cell_angle_alpha 90.00
_cell_angle_beta 121.02
_cell_angle_gamma 90.00
_symmetry_space_group_name_H-M 'P 1 21/c 1'
_symmetry_Int_Tables_number 14
loop_
_symmetry_equiv_pos_as_xyz
'x,y,z'
'-x,-y,-z'
'-x,y+1/2,-z+1/2'
'x,-y+1/2,z+1/2'
loop_
_atom_site_label
_atom_site_fract_x
_atom_site_fract_y
_atom_site_fract_z
Zr1 0.000 0.000 0.000
Pa1 0.324 0.125 0.771
Se1 0.089 0.048 0.261
Se2 0.239 0.673 0.076
Se3 0.398 0.189 0.061
```

Summary:
Offset from the most stable computed form ... 0.000 eV per atom
Energy relative to the elements, uncorrected ... -1.3310 eV/atom